Entry 1:
The following is a GGA-PBE calculation of a geometry-optimized HfGa2GeCl structure, from the Alexandria database.

```
HfGa2GeCl
1.0
4.9191 0.0000 0.0000
0.0000 5.1954 0.0000
0.0000 0.0000 4.9191
Ga Cl Ge Hf
2 1 1 1
Direct
0.5000 0.0000 0.0000
0.0000 0.0000 0.5000
0.5000 0.5000 0.5000
0.0000 0.0000 0.0000
0.0000 0.5000 0.0000
```

Computed properties:
Crystal system ... tetragonal
Size of the total moment ... 0.0 μB/f.u.
Uncorrected formation energy ... 418 meV/atom
Excess energy over the best structure of this formula in the dataset ... 0.0 kJ/mol of atoms

***

Entry 2:
The following is a GGA-PBE calculation of a geometry-optimized Ac4TlHPt2 structure, from the Alexandria database.

```
Ac4TlHPt2
1.0
-2.6564 1.6820 -3.0440
-0.9118 -7.6342 -0.2768
-11.4090 0.9819 10.4989
Tl Ac Pt H
2 8 4 2
Direct
0.1103 0.2206 0.7500
0.8897 0.7794 0.2500
0.0000 0.0000 0.5000
0.2665 0.5330 0.3862
0.4216 0.8431 0.7500
0.0000 0.0000 0.0000
0.2665 0.5330 0.1138
0.7335 0.4670 0.6138
0.5784 0.1569 0.2500
0.7335 0.4670 0.8862
0.3674 0.7348 0.5595
0.3674 0.7348 0.9405
0.6326 0.2652 0.4405
0.6326 0.2652 0.0595
0.1653 0.3307 0.2500
0.8347 0.6693 0.7500
```

Computed properties:
Energy ... -81.04 eV/cell
Crystal system ... orthorhombic
Size of the total moment ... 0.0 μB/f.u.

***

Entry 3:
The following is a GGA-PBE calculation of a geometry-optimized SrSc3Rh structure, from the Alexandria database.

```
SrSc3Rh
1.0
-1.3570 0.4574 -4.6901
-3.8190 -2.9661 0.8157
-2.7607 3.8783 1.1770
Sc Sr Rh
3 1 1
Direct
0.5000 0.0000 0.0000
0.0000 0.5000 0.0000
0.0000 0.0000 0.5000
0.0000 0.0000 0.0000
0.5000 0.5000 0.5000
```

Computed properties:
Crystal system ... cubic
DFT formation energy ... 1.512 eV/atom
Size of the total moment ... 0.0 μB/f.u.
Excess energy over the best structure of this formula in the dataset ... 170.5 kJ/mol of atoms

***

Entry 4:
The following is a GGA-PBE calculation of a geometry-optimized CePr3Ho2As6 structure, from the Alexandria database.

```
CePr3Ho2As6
1.0
-5.0832 4.9987 -1.6067
1.8364 -5.0622 -4.9406
-3.8192 -4.1689 4.6538
As Ho Ce Pr
6 2 1 3
Direct
0.4139 0.0795 0.2386
0.0795 0.4139 0.2386
0.9205 0.5861 0.7614
0.7448 0.7448 0.2375
0.5861 0.9205 0.7614
0.2552 0.2552 0.7625
0.3333 0.6667 0.0000
0.6667 0.3333 0.0000
0.0000 0.0000 0.0000
0.5000 0.5000 0.5000
0.8337 0.1663 0.5000
0.1663 0.8337 0.5000
```

Computed properties:
Crystal system ... monoclinic
DFT formation energy ... -1.496 eV/atom
Size of the total moment ... 0.5 μB/f.u.

***

Entry 5:
The following is a GGA-PBE calculation of a geometry-optimized TbDy3Ho6Th2 structure, from the Alexandria database.

```
TbDy3Ho6Th2
1.0
-3.1465 -0.2122 -5.2688
6.1395 0.0574 -0.0956
-0.8840 -11.4714 2.1847
Ho Dy Tb Th
6 3 1 2
Direct
0.7458 0.7458 0.2484
0.4199 0.0830 0.2481
0.9170 0.5801 0.7519
0.5801 0.9170 0.7519
0.0830 0.4199 0.2481
0.2542 0.2542 0.7516
0.1664 0.8336 0.5000
0.5000 0.5000 0.5000
0.8336 0.1664 0.5000
0.0000 0.0000 0.0000
0.6666 0.3334 0.0000
0.3334 0.6666 0.0000
```

Computed properties:
Crystal system ... monoclinic
DFT formation energy ... 0.024 eV/atom
Size of the total moment ... 0.0 μB/f.u.

***

Entry 6:
The following is a GGA-PBE calculation of a geometry-optimized NpSc3S6 structure, from the Alexandria database.

```
NpSc3S6
1.0
-2.6980 -2.2461 1.3545
7.3738 -5.8699 4.9541
-3.2621 7.8846 6.5768
Sc S Np
6 12 2
Direct
0.2500 0.5588 0.1633
0.2500 0.3221 0.5003
0.7500 0.4412 0.8367
0.7500 0.1578 0.0859
0.7500 0.6779 0.4997
0.2500 0.8422 0.9141
0.2500 0.1998 0.2503
0.2500 0.6079 0.9403
0.7500 0.4775 0.6142
0.7500 0.9183 0.0928
0.2500 0.5225 0.3858
0.7500 0.3921 0.0597
0.7500 0.1208 0.4633
0.7500 0.7332 0.2701
0.2500 0.8792 0.5367
0.2500 0.2668 0.7299
0.7500 0.8002 0.7497
0.2500 0.0817 0.9072
0.7500 0.0508 0.6956
0.2500 0.9492 0.3044
```

Computed properties:
Crystal system ... monoclinic
Size of the total moment ... 4.0 μB/f.u.
Uncorrected formation energy ... -1768 meV/atom

***

Repeat the second record exactly.
The following is a GGA-PBE calculation of a geometry-optimized Ac4TlHPt2 structure, from the Alexandria database.

```
Ac4TlHPt2
1.0
-2.6564 1.6820 -3.0440
-0.9118 -7.6342 -0.2768
-11.4090 0.9819 10.4989
Tl Ac Pt H
2 8 4 2
Direct
0.1103 0.2206 0.7500
0.8897 0.7794 0.2500
0.0000 0.0000 0.5000
0.2665 0.5330 0.3862
0.4216 0.8431 0.7500
0.0000 0.0000 0.0000
0.2665 0.5330 0.1138
0.7335 0.4670 0.6138
0.5784 0.1569 0.2500
0.7335 0.4670 0.8862
0.3674 0.7348 0.5595
0.3674 0.7348 0.9405
0.6326 0.2652 0.4405
0.6326 0.2652 0.0595
0.1653 0.3307 0.2500
0.8347 0.6693 0.7500
```

Computed properties:
Energy ... -81.04 eV/cell
Crystal system ... orthorhombic
Size of the total moment ... 0.0 μB/f.u.

***

- Look up the size of the total moment of the third one.
  0.0 μB/f.u.